Record 1
Here is crystalline MgTaIr2 at its relaxed geometry from the Alexandria database. Energies are from GGA-PBE.

```
4
Lattice="4.3660 -1.4353 0.0000 4.3660 1.4353 0.0000 -0.7255 0.0000 5.1026" Properties=species:S:1:pos:R:3 pbc="T T T"
Mg 0.0000 0.0000 0.0000
Ta 4.0032 0.0000 2.5513
Ir 1.6254 0.0000 3.8471
Ir 6.3810 0.0000 1.2555
```

Total moment in μB/atom: 0.000
Formation enthalpy at 0 K in meV/atom: -220
Energy in eV/cell: -32.05


Record 2
Here is crystalline Tb2DyY2 at its relaxed geometry from the Alexandria database. Energies are from GGA-PBE.

```
10
Lattice="9.2832 0.0000 0.0000 0.0000 9.2832 0.0000 0.0000 0.0000 3.7616" Properties=species:S:1:pos:R:3 pbc="T T T"
Tb 1.1885 3.4531 0.0000
Tb 3.4531 8.0947 0.0000
Tb 5.8301 1.1885 0.0000
Tb 8.0947 5.8301 0.0000
Dy 0.0000 0.0000 0.0000
Dy 4.6416 4.6416 0.0000
Y 1.5831 6.2247 1.8808
Y 3.0585 1.5831 1.8808
Y 6.2247 7.7001 1.8808
Y 7.7001 3.0585 1.8808
```

Total moment in μB/atom: 0.000
Formation enthalpy at 0 K in meV/atom: 91
Energy in eV/cell: -52.67


Record 3
Here is crystalline YLuGeRu at its relaxed geometry from the Alexandria database. Energies are from GGA-PBE.

```
4
Lattice="0.0000 3.4521 3.4521 3.4521 0.0000 3.4521 3.4521 3.4521 0.0000" Properties=species:S:1:pos:R:3 pbc="T T T"
Y 0.0000 0.0000 0.0000
Lu 3.4521 3.4521 3.4521
Ge 1.7261 1.7261 1.7261
Ru 5.1782 5.1782 5.1782
```

Total moment in μB/atom: 0.000
Formation enthalpy at 0 K in meV/atom: -504
Energy in eV/cell: -26.89


Record 4
Here is crystalline BaHg3Sb2 at its relaxed geometry from the Alexandria database. Energies are from GGA-PBE.

```
12
Lattice="9.3825 -2.6039 0.0000 9.3825 2.6039 0.0000 -2.7300 0.0000 7.6968" Properties=species:S:1:pos:R:3 pbc="T T T"
Ba 2.0933 0.0000 1.3216
Ba 13.9417 0.0000 6.3752
Hg -1.1021 0.0000 5.2353
Hg 5.8049 0.0000 0.6957
Hg 4.8940 0.0000 4.0087
Hg 11.1410 0.0000 3.6880
Hg 10.2300 0.0000 7.0011
Hg 17.1370 0.0000 2.4615
Sb 1.8677 0.0000 5.5572
Sb 8.7946 0.0000 1.3102
Sb 7.2403 0.0000 6.3866
Sb 14.1672 0.0000 2.1396
```

Total moment in μB/atom: 0.000
Energy in eV/cell: -26.15


Record 5
Here is crystalline Tb3Nd6Dy2Ho at its relaxed geometry from the Alexandria database. Energies are from GGA-PBE.

```
12
Lattice="3.1390 -5.4365 0.0000 3.1390 5.4365 0.0000 -2.0854 0.0000 11.6987" Properties=species:S:1:pos:R:3 pbc="T T T"
Tb 0.0000 0.0000 0.0000
Tb 3.1390 1.8122 0.0000
Tb 3.1390 -1.8122 0.0000
Nd 1.0455 1.8115 2.9330
Nd 0.0087 0.0000 8.7669
Nd 1.0455 -1.8115 2.9330
Nd 3.1472 1.8115 8.7658
Nd 4.1840 0.0000 2.9318
Nd 3.1472 -1.8115 8.7658
Dy 2.0963 3.6244 5.8494
Dy 2.0963 -3.6244 5.8494
Ho 2.0963 0.0000 5.8494
```

Total moment in μB/atom: 0.000
Formation enthalpy at 0 K in meV/atom: 11
Energy in eV/cell: -56.15


Record 6
Here is crystalline ZnAg2Os at its relaxed geometry from the Alexandria database. Energies are from GGA-PBE.

```
4
Lattice="2.7290 -4.8960 0.0000 2.7290 4.8960 0.0000 -1.1923 0.0000 2.4040" Properties=species:S:1:pos:R:3 pbc="T T T"
Zn 0.0000 0.0000 0.0000
Ag 0.7683 2.4480 1.2020
Ag 0.7683 -2.4480 1.2020
Os 2.7290 0.0000 0.0000
```

Total moment in μB/atom: 0.000
Formation enthalpy at 0 K in meV/atom: 421
Energy in eV/cell: -16.52


Which value of total moment does entry 6 give?
0.000 μB/atom